DFT (GGA-PBE) results for crystalline Ba2Li5Ag2 at its relaxed geometry.

The space group is P4/mmm (No. 123) and the conventional cell measures 4.640, 4.640 and 12.011 Å, with angles of 90.00, 90.00 and 90.00 degrees. The distinct sites, in fractional coordinates, are Ba at (0.000, 0.000, 0.000), Ba at (0.000, 0.000, 0.500), Li at (0.000, 0.500, 0.241), Li at (0.500, 0.500, 0.000) and Ag at (0.500, 0.500, 0.377).

The formation energy is -0.009 eV/atom. The electronic total energy comes out at -2.13 eV/atom. The density of states at the Fermi level comes out at 6.45 states/eV per cell. As for the volume: 28.7 Å³ per atom. The total magnetization comes out at 0.0002 μB/atom.

=====

DFT (GGA-PBE) results for crystalline Ba2LiAg2 at its relaxed geometry.

The space group is I4/mmm (No. 139) and the conventional cell measures 4.138, 4.138 and 20.366 Å, with angles of 90.00, 90.00 and 90.00 degrees. The distinct sites, in fractional coordinates, are Ba at (0.000, 0.000, 0.114), Li at (0.000, 0.000, 0.500) and Ag at (0.000, 0.500, 0.250).

The formation energy is 0.016 eV/atom. The electronic total energy comes out at -2.28 eV/atom. The density of states at the Fermi level comes out at 8.73 states/eV per cell. As for the volume: 34.9 Å³ per atom. The total magnetization comes out at 0.0000 μB/atom.

=====

DFT (GGA-PBE) results for crystalline Ba2Li16Ag at its relaxed geometry.

The space group is R3m (No. 160, hexagonal axes) and the conventional cell measures 10.3360, 10.3360 and 15.1225 Å, with angles of 90.00, 90.00 and 120.00 degrees. The distinct sites, in fractional coordinates, are Ba at (0.0000, 0.0000, 0.0000), Ba at (0.0000, 0.0000, 0.3087), Li at (0.0000, 0.0000, 0.7386), Li at (0.0118, 0.5059, 0.1531), Li at (0.0158, 0.5079, 0.4984), Li at (0.0589, 0.3915, 0.3174), Li at (0.1788, 0.3575, 0.1408) and Ag at (0.0000, 0.0000, 0.5564).

The formation energy is -0.002 eV/atom. The electronic total energy comes out at -1.97 eV/atom. The density of states at the Fermi level comes out at 30.71 states/eV per cell. As for the volume: 24.5 Å³ per atom. The total magnetization comes out at 0.0000 μB/atom.